# Pr3Dy2Ho6Sc (PBE, optimized geometry)
data_Pr3Dy2Ho6Sc
_chemical_formula_sum 'Pr6 Dy4 Ho12 Sc2'
_cell_length_a 6.1658
_cell_length_b 10.6767
_cell_length_c 11.7535
_cell_angle_alpha 90.00
_cell_angle_beta 100.06
_cell_angle_gamma 90.00
_symmetry_space_group_name_H-M 'C 1 2/m 1'
_symmetry_Int_Tables_number 12
loop_
_symmetry_equiv_pos_as_xyz
'x,y,z'
'-x,-y,-z'
'-x,y,-z'
'x,-y,z'
'x+1/2,y+1/2,z'
'-x+1/2,-y+1/2,-z'
'-x+1/2,y+1/2,-z'
'x+1/2,-y+1/2,z'
loop_
_atom_site_label
_atom_site_type_symbol
_atom_site_fract_x
_atom_site_fract_y
_atom_site_fract_z
_atom_site_occupancy
Pr1 Pr 0.0000 0.0000 0.0000 1
Pr2 Pr 0.0000 0.3335 0.0000 1
Dy1 Dy 0.0000 0.1664 0.5000 1
Ho1 Ho 0.2458 0.3346 0.7430 1
Ho2 Ho 0.2497 0.0000 0.7432 1
Sc1 Sc 0.0000 0.5000 0.5000 1
# Calculated volume (Å³/f.u.): 380.92

***

# Pr2DyHo5Sc (PBE, optimized geometry)
data_Pr2DyHo5Sc
_chemical_formula_sum 'Pr8 Dy4 Ho20 Sc4'
_cell_length_a 5.5559
_cell_length_b 19.9731
_cell_length_c 10.3919
_cell_angle_alpha 90.00
_cell_angle_beta 90.00
_cell_angle_gamma 90.00
_symmetry_space_group_name_H-M 'C m c 21'
_symmetry_Int_Tables_number 36
loop_
_symmetry_equiv_pos_as_xyz
'x,y,z'
'-x,-y,z+1/2'
'-x,y,z'
'x,-y,z+1/2'
'x+1/2,y+1/2,z'
'-x+1/2,-y+1/2,z+1/2'
'-x+1/2,y+1/2,z'
'x+1/2,-y+1/2,z+1/2'
loop_
_atom_site_label
_atom_site_type_symbol
_atom_site_fract_x
_atom_site_fract_y
_atom_site_fract_z
_atom_site_occupancy
Pr1 Pr 0.0000 0.1133 0.0000 1
Pr2 Pr 0.0000 0.1154 0.4204 1
Dy1 Dy 0.0000 0.4084 0.1454 1
Ho1 Ho 0.0000 0.0159 0.7031 1
Ho2 Ho 0.0000 0.2754 0.0063 1
Ho3 Ho 0.0000 0.2981 0.3878 1
Ho4 Ho 0.0000 0.3750 0.7051 1
Ho5 Ho 0.0000 0.4829 0.4268 1
Sc1 Sc 0.0000 0.1961 0.7000 1
# Calculated volume (Å³/f.u.): 288.30

***

# Pr4Dy2HoSc (PBE, optimized geometry)
data_Pr4Dy2HoSc
_chemical_formula_sum 'Pr4 Dy2 Ho1 Sc1'
_cell_length_a 5.1287
_cell_length_b 5.1433
_cell_length_c 9.9180
_cell_angle_alpha 90.00
_cell_angle_beta 90.00
_cell_angle_gamma 90.00
_symmetry_space_group_name_H-M 'P m m m'
_symmetry_Int_Tables_number 47
loop_
_symmetry_equiv_pos_as_xyz
'x,y,z'
'-x,-y,-z'
'-x,-y,z'
'x,y,-z'
'x,-y,-z'
'-x,y,z'
'-x,y,-z'
'x,-y,z'
loop_
_atom_site_label
_atom_site_type_symbol
_atom_site_fract_x
_atom_site_fract_y
_atom_site_fract_z
_atom_site_occupancy
Pr1 Pr 0.0000 0.0000 0.2450 1
Pr2 Pr 0.5000 0.5000 0.2453 1
Dy1 Dy 0.0000 0.5000 0.0000 1
Dy2 Dy 0.5000 0.0000 0.5000 1
Ho1 Ho 0.0000 0.5000 0.5000 1
Sc1 Sc 0.5000 0.0000 0.0000 1
# Calculated volume (Å³/f.u.): 261.62

***

no.,DFT total energy (eV per formula unit),total magnetization (μB per formula unit),ΔH_f (0 K) (kJ per mole of atoms)
1,-56.96,0.00,3
2,-42.00,0.00,15
3,-39.00,0.00,3